#1
BaVAsO6 after structural relaxation, computed with PBE with a Hubbard U.

Summary:
SG: P2_1/c (14)
Density of states at the Fermi level (states/eV/f.u.): 0.0

Cell and atoms, written as POSCAR:
```
BaVAsO6
1.0
10.3470 0.0000 0.0000
0.0000 5.8960 0.0003
0.0000 0.0610 9.0297
As O Ba V
4 24 4 4
Direct
0.1138 0.1540 0.2181
0.3862 0.1540 0.7181
0.8862 0.8460 0.7819
0.6138 0.8460 0.2819
0.1389 0.3892 0.6616
0.5659 0.1810 0.0250
0.8267 0.7770 0.6069
0.3611 0.3892 0.1616
0.6733 0.7770 0.1069
0.7726 0.0245 0.8604
0.4341 0.8190 0.9750
0.9233 0.6116 0.8816
0.3267 0.2230 0.8931
0.0348 0.9854 0.7671
0.8611 0.6108 0.3384
0.9652 0.0146 0.2329
0.6389 0.6108 0.8384
0.5767 0.6116 0.3816
0.2726 0.9755 0.6396
0.2274 0.9755 0.1396
0.9341 0.1810 0.5250
0.5348 0.0146 0.7329
0.0659 0.8190 0.4750
0.7274 0.0245 0.3604
0.4652 0.9854 0.2671
0.0767 0.3884 0.1184
0.1733 0.2230 0.3931
0.4233 0.3884 0.6184
0.3057 0.6380 0.4138
0.1943 0.6380 0.9138
0.6943 0.3620 0.5862
0.8057 0.3620 0.0862
0.5914 0.8538 0.9143
0.9086 0.8538 0.4143
0.0914 0.1462 0.5857
0.4086 0.1462 0.0857
```


#2
BaVAsO6 after structural relaxation, computed with PBE with a Hubbard U.

Summary:
SG: P312 (149)
Density of states at the Fermi level (states/eV/f.u.): 0.0

Cell and atoms, written as POSCAR:
```
BaVAsO6
1.0
5.0728 0.0000 -0.0001
2.5365 4.3932 0.0000
0.0001 -0.0002 5.7978
O As V Ba
6 1 1 1
Direct
0.0055 0.6007 0.6846
0.6007 0.3938 0.6846
0.6007 0.0055 0.3154
0.3938 0.0055 0.6846
0.3938 0.6007 0.3154
0.0055 0.3938 0.3154
0.3333 0.3333 0.5000
0.6666 0.6667 0.5000
0.0000 0.0000 0.0000
```


Most stable structure, least stable structure: #1, #2.